## Ag2AsBr5 (GGA-PBE)

Data for crystalline Ag2AsBr5 at its relaxed geometry.

Computed properties:
- Formation energy from raw total energies: -0.331 eV/atom
- Energy: -21.4 eV for the cell shown
- Symmetry: P1, No. 1

a = 6.2615 Å, b = 7.2518 Å, c = 7.5419 Å
α = 89.37°, β = 68.20°, γ = 69.52°
Sites, in units of the cell vectors:
Ag 0.0000 0.0000 0.0000
Ag 0.0867 0.5916 0.3989
As 0.6408 0.5263 0.9509
Br 0.2595 0.8731 0.2065
Br 0.5394 0.3189 0.2577
Br 0.6407 0.7278 0.6588
Br 0.9309 0.2031 0.7232
Br 0.9585 0.6054 0.0081

=====

## Ag2AsBr (GGA-PBE)

Data for crystalline Ag2AsBr at its relaxed geometry.

Computed properties:
- Formation energy from raw total energies: 0.272 eV/atom
- Energy: -10.9 eV for the cell shown
- Symmetry: Immm, No. 71

a = 5.5721 Å, b = 5.5721 Å, c = 5.5721 Å
α = 143.53°, β = 119.30°, γ = 72.93°
Sites, in units of the cell vectors:
Ag 0.2304 0.2304 0.0000
Ag 0.7696 0.7696 0.0000
As 0.0000 0.5000 0.5000
Br 0.5000 0.0000 0.5000

=====

## AgAs2CBr (GGA-PBE)

Data for crystalline AgAs2CBr at its relaxed geometry.

Computed properties:
- Formation energy from raw total energies: 2.056 eV/atom
- Energy: -12.8 eV for the cell shown
- Symmetry: P4/mmm, No. 123

a = 5.0527 Å, b = 5.0527 Å, c = 5.2477 Å
α = 90.00°, β = 90.00°, γ = 90.00°
Sites, in units of the cell vectors:
Ag 0.0000 0.0000 0.0000
As 0.0000 0.5000 0.0000
As 0.5000 0.0000 0.0000
C 0.5000 0.5000 0.5000
Br 0.0000 0.0000 0.5000

=====

## AgAs2CBr (GGA-PBE)

Data for crystalline AgAs2CBr at its relaxed geometry.

Computed properties:
- Formation energy from raw total energies: 0.981 eV/atom
- Energy: -18.1 eV for the cell shown
- Symmetry: P4/mmm, No. 123

a = 4.0943 Å, b = 4.0943 Å, c = 8.2443 Å
α = 90.00°, β = 90.00°, γ = 90.00°
Sites, in units of the cell vectors:
Ag 0.0000 0.0000 0.0000
As 0.0000 0.5000 0.5000
As 0.5000 0.0000 0.5000
C 0.5000 0.5000 0.5000
Br 0.5000 0.5000 0.0000

=====

## CaAgAsBr2 (GGA-PBE)

Data for crystalline CaAgAsBr2 at its relaxed geometry.

Computed properties:
- Formation energy from raw total energies: -0.243 eV/atom
- Energy: -14.1 eV for the cell shown
- Symmetry: P4/mmm, No. 123

a = 5.5326 Å, b = 5.5326 Å, c = 5.9382 Å
α = 90.00°, β = 90.00°, γ = 90.00°
Sites, in units of the cell vectors:
Ca 0.0000 0.0000 0.0000
Ag 0.5000 0.5000 0.5000
As 0.0000 0.0000 0.5000
Br 0.0000 0.5000 0.0000
Br 0.5000 0.0000 0.0000

=====

## CaAgAs2Br (GGA-PBE)

Data for crystalline CaAgAs2Br at its relaxed geometry.

Computed properties:
- Formation energy from raw total energies: 0.398 eV/atom
- Energy: -13.8 eV for the cell shown
- Symmetry: P4/mmm, No. 123

a = 5.6010 Å, b = 5.6010 Å, c = 5.4667 Å
α = 90.00°, β = 90.00°, γ = 90.00°
Sites, in units of the cell vectors:
Ca 0.0000 0.0000 0.0000
Ag 0.5000 0.5000 0.5000
As 0.0000 0.5000 0.0000
As 0.5000 0.0000 0.0000
Br 0.0000 0.0000 0.5000

=====

## CaAgAsBr2 (GGA-PBE)

Data for crystalline CaAgAsBr2 at its relaxed geometry.

Computed properties:
- Formation energy from raw total energies: -0.310 eV/atom
- Energy: -14.4 eV for the cell shown
- Symmetry: P4/mmm, No. 123

a = 5.3577 Å, b = 5.3577 Å, c = 5.1611 Å
α = 90.00°, β = 90.00°, γ = 90.00°
Sites, in units of the cell vectors:
Ca 0.0000 0.0000 0.0000
Ag 0.5000 0.5000 0.5000
As 0.5000 0.5000 0.0000
Br 0.0000 0.5000 0.5000
Br 0.5000 0.0000 0.5000

=====

## CaAgAs2Br (GGA-PBE)

Data for crystalline CaAgAs2Br at its relaxed geometry.

Computed properties:
- Formation energy from raw total energies: -0.011 eV/atom
- Energy: -15.9 eV for the cell shown
- Symmetry: P4/mmm, No. 123

a = 4.9219 Å, b = 4.9219 Å, c = 5.8693 Å
α = 90.00°, β = 90.00°, γ = 90.00°
Sites, in units of the cell vectors:
Ca 0.0000 0.0000 0.0000
Ag 0.5000 0.5000 0.5000
As 0.0000 0.5000 0.5000
As 0.5000 0.0000 0.5000
Br 0.5000 0.5000 0.0000

=====

What is the formula in the fifth record? CaAgAsBr2

=====

Repeat the fifth record exactly.
## CaAgAsBr2 (GGA-PBE)

Data for crystalline CaAgAsBr2 at its relaxed geometry.

Computed properties:
- Formation energy from raw total energies: -0.243 eV/atom
- Energy: -14.1 eV for the cell shown
- Symmetry: P4/mmm, No. 123

a = 5.5326 Å, b = 5.5326 Å, c = 5.9382 Å
α = 90.00°, β = 90.00°, γ = 90.00°
Sites, in units of the cell vectors:
Ca 0.0000 0.0000 0.0000
Ag 0.5000 0.5000 0.5000
As 0.0000 0.0000 0.5000
Br 0.0000 0.5000 0.0000
Br 0.5000 0.0000 0.0000

=====

Copy entry 7 word for word.
## CaAgAsBr2 (GGA-PBE)

Data for crystalline CaAgAsBr2 at its relaxed geometry.

Computed properties:
- Formation energy from raw total energies: -0.310 eV/atom
- Energy: -14.4 eV for the cell shown
- Symmetry: P4/mmm, No. 123

a = 5.3577 Å, b = 5.3577 Å, c = 5.1611 Å
α = 90.00°, β = 90.00°, γ = 90.00°
Sites, in units of the cell vectors:
Ca 0.0000 0.0000 0.0000
Ag 0.5000 0.5000 0.5000
As 0.5000 0.5000 0.0000
Br 0.0000 0.5000 0.5000
Br 0.5000 0.0000 0.5000